No. 1
Here is a relaxed structure of Ba2YAg2Se4 from Alexandria. Energies are from PBE-GGA.

Properties
Raw formation energy   -126 kJ/mol of atoms
M_tot   0.00 μB/f.u.
Space-group type   C2/m (12)

a = 8.422 Å, b = 8.422 Å, c = 8.013 Å
α = 113.30°, β = 113.30°, γ = 28.78°
Positions (direct):
Ba 0.136 0.136 0.086
Ba 0.864 0.864 0.914
Y 0.000 0.000 0.500
Ag 0.313 0.313 0.496
Ag 0.687 0.687 0.504
Se 0.190 0.190 0.735
Se 0.485 0.485 0.748
Se 0.515 0.515 0.252
Se 0.810 0.810 0.265

***

No. 2
Here is a relaxed structure of CoIrRu2 from Alexandria. Energies are from PBE-GGA.

Properties
DFT formation energy   32 kJ/mol of formula units
M_tot   1.55 μB/f.u.
Space-group type   P4mm (99)

a = 2.692 Å, b = 2.692 Å, c = 7.376 Å
α = 90.00°, β = 90.00°, γ = 90.00°
Positions (direct):
Co 0.000 0.000 0.000
Ir 0.500 0.500 0.242
Ru 0.000 0.000 0.504
Ru 0.500 0.500 0.761

***

No. 3
Here is a relaxed structure of Ti4RhAu from Alexandria. Energies are from PBE-GGA.

Properties
DFT formation energy   -44 kJ/mol of formula units
M_tot   0.00 μB/f.u.
Space-group type   R-3m (166)

a = 7.432 Å, b = 7.432 Å, c = 7.432 Å
α = 34.14°, β = 34.14°, γ = 34.14°
Positions (direct):
Ti 0.119 0.119 0.119
Ti 0.370 0.370 0.370
Ti 0.630 0.630 0.630
Ti 0.881 0.881 0.881
Rh 0.000 0.000 0.000
Au 0.500 0.500 0.500

***

No. 4
Here is a relaxed structure of TiSiS2F from Alexandria. Energies are from PBE-GGA.

Properties
Raw formation energy   -29 kJ/mol of atoms
M_tot   0.00 μB/f.u.
Space-group type   P4/mmm (123)

a = 4.511 Å, b = 4.511 Å, c = 5.182 Å
α = 90.00°, β = 90.00°, γ = 90.00°
Positions (direct):
Ti 0.000 0.000 0.000
Si 0.000 0.000 0.500
S 0.000 0.500 0.000
S 0.500 0.000 0.000
F 0.500 0.500 0.500

***

No. 5
Here is a relaxed structure of Be2Pt2I from Alexandria. Energies are from PBE-GGA.

Properties
Raw formation energy   10 kJ/mol of atoms
M_tot   0.00 μB/f.u.
Space-group type   P4/mbm (127)

a = 7.390 Å, b = 7.390 Å, c = 2.883 Å
α = 90.00°, β = 90.00°, γ = 90.00°
Positions (direct):
Be 0.122 0.378 0.000
Be 0.378 0.878 0.000
Be 0.622 0.122 0.000
Be 0.878 0.622 0.000
Pt 0.138 0.638 0.500
Pt 0.362 0.138 0.500
Pt 0.638 0.862 0.500
Pt 0.862 0.362 0.500
I 0.000 0.000 0.000
I 0.500 0.500 0.000

***

No. 6
Here is a relaxed structure of CaZnP2 from Alexandria. Energies are from PBE-GGA.

Properties
DFT formation energy   -51 kJ/mol of formula units
M_tot   0.00 μB/f.u.
Space-group type   P4mm (99)

a = 3.445 Å, b = 3.445 Å, c = 6.496 Å
α = 90.00°, β = 90.00°, γ = 90.00°
Positions (direct):
Ca 0.000 0.000 0.000
Zn 0.500 0.500 0.690
P 0.000 0.000 0.430
P 0.500 0.500 0.316

***

No. 7
Here is a relaxed structure of Pu2HfGe3 from Alexandria. Energies are from PBE-GGA.

Properties
DFT formation energy   -181 kJ/mol of formula units
M_tot   10.17 μB/f.u.
Space-group type   Immm (71)

a = 3.967 Å, b = 5.688 Å, c = 12.442 Å
α = 90.00°, β = 90.00°, γ = 90.00°
Positions (direct):
Pu 0.000 0.000 0.173
Pu 0.000 0.000 0.827
Pu 0.500 0.500 0.327
Pu 0.500 0.500 0.673
Hf 0.000 0.000 0.500
Hf 0.500 0.500 0.000
Ge 0.000 0.500 0.152
Ge 0.000 0.500 0.500
Ge 0.000 0.500 0.848
Ge 0.500 0.000 0.000
Ge 0.500 0.000 0.348
Ge 0.500 0.000 0.652

***

No. 8
Here is a relaxed structure of SiAgAu from Alexandria. Energies are from PBE-GGA.

Properties
Raw formation energy   20 kJ/mol of atoms
M_tot   0.00 μB/f.u.
Space-group type   Fmm2 (42)

a = 4.087 Å, b = 4.336 Å, c = 11.751 Å
α = 90.00°, β = 90.00°, γ = 90.00°
Positions (direct):
Si 0.000 0.000 0.000
Si 0.000 0.500 0.500
Si 0.500 0.000 0.500
Si 0.500 0.500 0.000
Ag 0.000 0.000 0.667
Ag 0.000 0.500 0.167
Ag 0.500 0.000 0.167
Ag 0.500 0.500 0.667
Au 0.000 0.000 0.351
Au 0.000 0.500 0.851
Au 0.500 0.000 0.851
Au 0.500 0.500 0.351

***

No. 9
Here is a relaxed structure of ScGePCl2 from Alexandria. Energies are from PBE-GGA.

Properties
Raw formation energy   -55 kJ/mol of atoms
M_tot   0.00 μB/f.u.
Space-group type   P4/mmm (123)

a = 4.800 Å, b = 4.800 Å, c = 5.370 Å
α = 90.00°, β = 90.00°, γ = 90.00°
Positions (direct):
Sc 0.000 0.000 0.000
Ge 0.500 0.500 0.500
P 0.000 0.000 0.500
Cl 0.000 0.500 0.000
Cl 0.500 0.000 0.000

***

No. 10
Here is a relaxed structure of Li2TiB2O6 from Alexandria. Energies are from PBE-GGA.

Properties
Raw formation energy   -241 kJ/mol of atoms
M_tot   0.06 μB/f.u.
Space-group type   P-1 (2)

a = 5.085 Å, b = 6.091 Å, c = 8.336 Å
α = 74.77°, β = 86.74°, γ = 88.83°
Positions (direct):
Li 0.163 0.493 0.201
Li 0.320 0.695 0.623
Li 0.680 0.305 0.377
Li 0.837 0.507 0.799
Ti 0.350 0.999 0.254
Ti 0.650 0.001 0.746
B 0.165 0.155 0.552
B 0.348 0.314 0.906
B 0.652 0.686 0.094
B 0.835 0.845 0.448
O 0.105 0.822 0.417
O 0.202 0.455 0.797
O 0.280 0.248 0.079
O 0.286 0.251 0.399
O 0.305 0.012 0.680
O 0.407 0.774 0.143
O 0.593 0.226 0.857
O 0.695 0.988 0.320
O 0.714 0.749 0.601
O 0.720 0.752 0.921
O 0.798 0.545 0.203
O 0.895 0.178 0.583

***

No. 11
Here is a relaxed structure of CeTmPt2 from Alexandria. Energies are from PBE-GGA.

Properties
DFT formation energy   -471 kJ/mol of formula units
M_tot   0.45 μB/f.u.
Space-group type   Amm2 (38)

a = 4.505 Å, b = 3.739 Å, c = 10.638 Å
α = 90.00°, β = 90.00°, γ = 90.00°
Positions (direct):
Ce 0.000 0.000 0.000
Ce 0.000 0.500 0.500
Tm 0.500 0.000 0.726
Tm 0.500 0.500 0.226
Pt 0.000 0.000 0.271
Pt 0.000 0.500 0.771
Pt 0.500 0.000 0.454
Pt 0.500 0.500 0.954

***

No. 12
Here is a relaxed structure of Pr4CS2 from Alexandria. Energies are from PBE-GGA.

Properties
Raw formation energy   -117 kJ/mol of atoms
M_tot   0.53 μB/f.u.
Space-group type   Cmmm (65)

a = 8.292 Å, b = 11.404 Å, c = 3.953 Å
α = 90.00°, β = 90.00°, γ = 90.00°
Positions (direct):
Pr 0.000 0.231 0.000
Pr 0.000 0.769 0.000
Pr 0.214 0.000 0.500
Pr 0.286 0.500 0.500
Pr 0.500 0.269 0.000
Pr 0.500 0.731 0.000
Pr 0.714 0.500 0.500
Pr 0.786 0.000 0.500
C 0.000 0.000 0.000
C 0.500 0.500 0.000
S 0.250 0.250 0.500
S 0.250 0.750 0.500
S 0.750 0.250 0.500
S 0.750 0.750 0.500

***

No. 13
Here is a relaxed structure of Th4H3IrRh12 from Alexandria. Energies are from PBE-GGA.

Properties
E_tot   -0.2720 Ha/atom
M_tot   0.00 μB/f.u.
Space-group type   Im-3m (229)

a = 7.422 Å, b = 7.422 Å, c = 7.422 Å
α = 109.47°, β = 109.47°, γ = 109.47°
Positions (direct):
Th 0.000 0.000 0.500
Th 0.000 0.500 0.000
Th 0.500 0.000 0.000
Th 0.500 0.500 0.500
H 0.000 0.500 0.500
H 0.500 0.000 0.500
H 0.500 0.500 0.000
Ir 0.000 0.000 0.000
Rh 0.000 0.291 0.291
Rh 0.000 0.709 0.709
Rh 0.250 0.500 0.750
Rh 0.250 0.750 0.500
Rh 0.291 0.000 0.291
Rh 0.291 0.291 0.000
Rh 0.500 0.250 0.750
Rh 0.500 0.750 0.250
Rh 0.709 0.000 0.709
Rh 0.709 0.709 0.000
Rh 0.750 0.250 0.500
Rh 0.750 0.500 0.250

***

No. 14
Here is a relaxed structure of TcSn2Mo from Alexandria. Energies are from PBE-GGA.

Properties
DFT formation energy   -3 kJ/mol of formula units
M_tot   0.00 μB/f.u.
Space-group type   I4mm (107)

a = 3.127 Å, b = 3.127 Å, c = 16.202 Å
α = 90.00°, β = 90.00°, γ = 90.00°
Positions (direct):
Tc 0.000 0.000 0.000
Tc 0.500 0.500 0.500
Sn 0.000 0.000 0.210
Sn 0.000 0.000 0.390
Sn 0.500 0.500 0.710
Sn 0.500 0.500 0.890
Mo 0.000 0.000 0.593
Mo 0.500 0.500 0.093

***

No. 15
Here is a relaxed structure of TaFeSe3 from Alexandria. Energies are from PBE-GGA.

Properties
Raw formation energy   68 kJ/mol of atoms
M_tot   0.00 μB/f.u.
Space-group type   Pm-3m (221)

a = 4.571 Å, b = 4.571 Å, c = 4.571 Å
α = 90.00°, β = 90.00°, γ = 90.00°
Positions (direct):
Ta 0.000 0.000 0.000
Fe 0.500 0.500 0.500
Se 0.000 0.500 0.500
Se 0.500 0.000 0.500
Se 0.500 0.500 0.000

***

No. 16
Here is a relaxed structure of Zn6CdCu5 from Alexandria. Energies are from PBE-GGA.

Properties
DFT formation energy   -43 kJ/mol of formula units
M_tot   0.00 μB/f.u.
Space-group type   P2/m (10)

a = 3.895 Å, b = 7.309 Å, c = 6.163 Å
α = 90.00°, β = 108.06°, γ = 90.00°
Positions (direct):
Zn 0.000 0.229 0.000
Zn 0.000 0.771 0.000
Zn 0.328 0.239 0.657
Zn 0.328 0.761 0.657
Zn 0.672 0.239 0.343
Zn 0.672 0.761 0.343
Cd 0.500 0.500 0.000
Cu 0.167 0.000 0.333
Cu 0.175 0.500 0.348
Cu 0.500 0.000 0.000
Cu 0.825 0.500 0.652
Cu 0.833 0.000 0.667

***

No. 17
Here is a relaxed structure of Cs3Na2SmI9 from Alexandria. Energies are from PBE-GGA.

Properties
Raw formation energy   -124 kJ/mol of atoms
M_tot   0.56 μB/f.u.
Space-group type   P-3m1 (164)

a = 8.687 Å, b = 8.687 Å, c = 11.119 Å
α = 90.00°, β = 90.00°, γ = 120.00°
Positions (direct):
Cs 0.000 0.000 0.000
Cs 0.333 0.667 0.680
Cs 0.667 0.333 0.320
Na 0.333 0.667 0.165
Na 0.667 0.333 0.835
Sm 0.000 0.000 0.500
I 0.000 0.500 0.000
I 0.166 0.331 0.339
I 0.166 0.834 0.339
I 0.331 0.166 0.661
I 0.500 0.000 0.000
I 0.500 0.500 0.000
I 0.669 0.834 0.339
I 0.834 0.166 0.661
I 0.834 0.669 0.661

***

No. 18
Here is a relaxed structure of AgMoP2Cl from Alexandria. Energies are from PBE-GGA.

Properties
Raw formation energy   127 kJ/mol of atoms
M_tot   2.92 μB/f.u.
Space-group type   P4/mmm (123)

a = 4.760 Å, b = 4.760 Å, c = 5.002 Å
α = 90.00°, β = 90.00°, γ = 90.00°
Positions (direct):
Ag 0.000 0.000 0.000
Mo 0.500 0.500 0.500
P 0.000 0.500 0.000
P 0.500 0.000 0.000
Cl 0.000 0.000 0.500

***

No. 19
Here is a relaxed structure of Fe4P3 from Alexandria. Energies are from PBE-GGA.

Properties
DFT formation energy   235 kJ/mol of formula units
M_tot   10.37 μB/f.u.
Space-group type   P6/mmm (191)

a = 4.693 Å, b = 4.693 Å, c = 4.506 Å
α = 90.00°, β = 90.00°, γ = 120.00°
Positions (direct):
Fe 0.000 0.000 0.248
Fe 0.000 0.000 0.752
Fe 0.333 0.667 0.000
Fe 0.667 0.333 0.000
P 0.000 0.500 0.500
P 0.500 0.000 0.500
P 0.500 0.500 0.500

***

No. 20
Here is a relaxed structure of HfCdBi2O6 from Alexandria. Energies are from PBE-GGA.

Properties
Raw formation energy   -180 kJ/mol of atoms
M_tot   0.00 μB/f.u.
Space-group type   R3 (146)

a = 6.053 Å, b = 6.053 Å, c = 6.053 Å
α = 58.36°, β = 58.36°, γ = 58.36°
Positions (direct):
Hf 0.000 0.000 0.000
Cd 0.510 0.510 0.510
Bi 0.289 0.289 0.289
Bi 0.788 0.788 0.788
O 0.130 0.330 0.720
O 0.178 0.875 0.645
O 0.330 0.720 0.130
O 0.645 0.178 0.875
O 0.720 0.130 0.330
O 0.875 0.645 0.178